VASP calculation (PBE) on a relaxed structure of Pm3ErTm6Sc2.

Calculated values
* E_tot: -4.84 eV per atom
* DOS at the Fermi energy: 16.515 states/eV per cell
* magnetic moment: 0.00 Bohr magnetons per cell
* E_form: 0.02 eV/atom

Cell lengths 6.097, 6.097, 12.766 Å; angles 103.77, 103.77, 120.05 degrees
Fractional positions:
1 Sc 0.667 0.333 0.000
2 Sc 0.333 0.667 0.000
3 Tm 0.422 0.758 0.758
4 Tm 0.094 0.094 0.758
5 Tm 0.758 0.422 0.758
6 Tm 0.242 0.578 0.242
7 Tm 0.578 0.242 0.242
8 Tm 0.906 0.906 0.242
9 Pm 0.167 0.833 0.500
10 Pm 0.833 0.167 0.500
11 Pm 0.500 0.500 0.500
12 Er 0.000 0.000 0.000

VASP calculation (PBE) on a relaxed structure of BaMn3Hg.

Calculated values
* E_tot: -5.18 eV per atom
* DOS at the Fermi energy: 6.513 states/eV per cell
* energy above the most stable polymorph in this dataset: 0 meV/atom
* magnetic moment: 12.60 Bohr magnetons per cell
* E_form: 0.77 eV/atom

Cell lengths 5.209, 5.209, 5.209 Å; angles 90.00, 90.00, 90.00 degrees
Last column: magnetic moment on the atom in μB.
Fractional positions:
1 Mn 0.000 0.000 0.500  4.15
2 Mn 0.500 0.000 0.000  3.88
3 Mn 0.000 0.500 0.000  4.11
4 Hg 0.000 0.000 0.000  0.01
5 Ba 0.500 0.500 0.500  -0.08

VASP calculation (PBE) on a relaxed structure of Tb3Zn8Ga3.

Calculated values
* E_tot: -2.75 eV per atom
* DOS at the Fermi energy: 5.646 states/eV per cell
* magnetic moment: 0.00 Bohr magnetons per cell
* E_form: -0.38 eV/atom

Cell lengths 4.282, 8.168, 8.168 Å; angles 72.21, 74.80, 74.80 degrees
Fractional positions:
1 Zn 0.164 0.207 0.466
2 Zn 0.642 0.086 0.629
3 Zn 0.358 0.914 0.371
4 Zn 0.358 0.371 0.914
5 Zn 0.836 0.534 0.793
6 Zn 0.836 0.793 0.534
7 Zn 0.642 0.629 0.086
8 Zn 0.164 0.466 0.207
9 Tb 0.811 0.189 0.189
10 Tb 0.189 0.811 0.811
11 Tb 0.500 0.500 0.500
12 Ga 0.000 0.213 0.787
13 Ga 0.500 0.000 0.000
14 Ga 0.000 0.787 0.213

VASP calculation (PBE) on a relaxed structure of GdZrZnAu.

Calculated values
* E_tot: -7.18 eV per atom
* DOS at the Fermi energy: 4.193 states/eV per cell
* magnetic moment: 8.16 Bohr magnetons per cell
* E_form: -0.38 eV/atom

Cell lengths 4.973, 4.973, 4.973 Å; angles 60.00, 60.00, 60.00 degrees
Last column: magnetic moment on the atom in μB.
Fractional positions:
1 Au 0.500 0.500 0.500  -0.05
2 Zn 0.000 0.000 0.000  -0.01
3 Zr 0.250 0.250 0.250  -0.46
4 Gd 0.750 0.750 0.750  -7.16

VASP calculation (PBE) on a relaxed structure of NdTm2Te4.

Calculated values
* E_tot: -5.15 eV per atom
* DOS at the Fermi energy: 2.377 states/eV per cell
* energy above the most stable polymorph in this dataset: 0 meV/atom
* magnetic moment: 0.00 Bohr magnetons per cell
* formation energy from raw total energies: -9.77 eV per formula unit

Cell lengths 4.338, 7.492, 7.622 Å; angles 108.03, 90.00, 90.00 degrees
Fractional positions:
1 Te 0.500 0.735 0.745
2 Te 0.500 0.265 0.255
3 Te 0.000 0.250 0.740
4 Te 0.000 0.750 0.260
5 Nd 0.000 0.000 0.000
6 Tm 0.500 0.000 0.500
7 Tm 0.000 0.500 0.500

VASP calculation (PBE) on a relaxed structure of Pr3BiTe3.

Calculated values
* E_tot: -5.19 eV per atom
* DOS at the Fermi energy: 1.400 states/eV per cell
* energy above the most stable polymorph in this dataset: 0 meV/atom
* magnetic moment: 0.00 Bohr magnetons per cell
* formation energy from raw total energies: -8.66 eV per formula unit

Cell lengths 9.511, 9.511, 8.469 Å; angles 55.84, 55.84, 60.00 degrees
Fractional positions:
1 Pr 0.294 0.533 0.240
2 Pr 0.467 0.067 0.760
3 Pr 0.067 0.706 0.760
4 Pr 0.933 0.294 0.240
5 Pr 0.706 0.467 0.760
6 Pr 0.533 0.933 0.240
7 Bi 0.340 0.340 0.981
8 Bi 0.660 0.660 0.019
9 Te 0.185 0.900 0.271
10 Te 0.815 0.100 0.729
11 Te 0.643 0.185 0.271
12 Te 0.900 0.643 0.271
13 Te 0.100 0.357 0.729
14 Te 0.357 0.815 0.729

VASP calculation (PBE) on a relaxed structure of RbNb3I.

Calculated values
* E_tot: -3.69 eV per atom
* DOS at the Fermi energy: 6.228 states/eV per cell
* energy above the most stable polymorph in this dataset: 1020 meV/atom
* magnetic moment: 0.00 Bohr magnetons per cell
* formation energy from raw total energies: 14.28 eV per formula unit

Cell lengths 4.952, 4.952, 4.952 Å; angles 90.00, 90.00, 90.00 degrees
Fractional positions:
1 Nb 0.000 0.500 0.000
2 Nb 0.500 0.000 0.000
3 Nb 0.000 0.000 0.500
4 Rb 0.000 0.000 0.000
5 I 0.500 0.500 0.500

VASP calculation (PBE) on a relaxed structure of Zr2HOs.

Calculated values
* E_tot: -8.05 eV per atom
* DOS at the Fermi energy: 3.219 states/eV per cell
* energy above the most stable polymorph in this dataset: 0 meV/atom
* magnetic moment: 0.00 Bohr magnetons per cell

Cell lengths 6.225, 6.225, 5.507 Å; angles 55.59, 55.59, 90.00 degrees
Fractional positions:
1 Os 0.000 0.000 0.000
2 Os 0.750 0.250 0.500
3 H 0.250 0.750 0.500
4 H 0.500 0.500 0.000
5 Zr 0.197 0.625 0.250
6 Zr 0.553 0.125 0.250
7 Zr 0.875 0.803 0.750
8 Zr 0.375 0.447 0.750